## CsSmO2 (PBEsol)

Data for CsSmO2 after structural relaxation.

As for the crystal system: hexagonal. Its formation energy (no corrections) is -2.62 eV per atom.

Structure (CIF):
```
data_CsSmO2
_chemical_formula_sum 'Cs2 Sm2 O4'
_cell_length_a 3.5974
_cell_length_b 3.5974
_cell_length_c 13.5606
_cell_angle_alpha 90.00
_cell_angle_beta 90.00
_cell_angle_gamma 120.00
_symmetry_space_group_name_H-M 'P 63/m m c'
_symmetry_Int_Tables_number 194
_symmetry_space_group_name_Hall '-P 6c 2c'
loop_
_atom_site_label
_atom_site_type_symbol
_atom_site_fract_x
_atom_site_fract_y
_atom_site_fract_z
Cs1 Cs 0.3333 0.6667 0.2500
Sm1 Sm 0.0000 0.0000 0.0000
O1 O 0.3333 0.6667 0.5849
```